#P
DFT (GGA-PBE) results for crystalline Pm3Ag2Hg3 at its relaxed geometry.

Computed properties:
magnetization	0.0	μB/f.u.
DOS(E_F)	0.7656	states/eV per atom

Cell and atoms, written as CIF:
```
data_Pm3Ag2Hg3
_space_group_name_H-M_alt 'C m c m'
_space_group_IT_number 63
_space_group_name_Hall '-C 2c 2'
_cell_length_a 4.8009
_cell_length_b 10.8102
_cell_length_c 15.9331
_cell_angle_alpha 90.00
_cell_angle_beta 90.00
_cell_angle_gamma 90.00
loop_
_atom_site_label
_atom_site_type_symbol
_atom_site_fract_x
_atom_site_fract_y
_atom_site_fract_z
_atom_site_occupancy
Pm1 Pm 0.0000 0.0824 0.1028 1
Pm2 Pm 0.0000 0.3389 0.2500 1
Ag1 Ag 0.0000 0.2143 0.6081 1
Hg1 Hg 0.0000 0.3776 0.7500 1
Hg2 Hg 0.0000 0.3853 0.0481 1
```

***

#Q
DFT (GGA-PBE) results for crystalline Pm3Ag2Hg3 at its relaxed geometry.

Computed properties:
magnetization	0.0	μB/f.u.
DOS(E_F)	1.0457	states/eV per atom

Cell and atoms, written as CIF:
```
data_Pm3Ag2Hg3
_space_group_name_H-M_alt 'P -6 2 m'
_space_group_IT_number 189
_space_group_name_Hall 'P -6 -2'
_cell_length_a 7.7766
_cell_length_b 7.7766
_cell_length_c 3.9673
_cell_angle_alpha 90.00
_cell_angle_beta 90.00
_cell_angle_gamma 120.00
loop_
_atom_site_label
_atom_site_type_symbol
_atom_site_fract_x
_atom_site_fract_y
_atom_site_fract_z
_atom_site_occupancy
Pm1 Pm 0.0000 0.3952 0.0000 1
Ag1 Ag 0.3333 0.6667 0.5000 1
Hg1 Hg 0.0000 0.7597 0.5000 1
```

***

Which structure is the least stable? The one labeled #Q.

***

#P
DFT (GGA-PBE) results for crystalline PmAg3Hg3 at its relaxed geometry.

Computed properties:
magnetization	0.0	μB/f.u.
DOS(E_F)	0.4164	states/eV per atom

Cell and atoms, written as CIF:
```
data_PmAg3Hg3
_space_group_name_H-M_alt 'R -3'
_space_group_IT_number 148
_space_group_name_Hall '-R 3'
_cell_length_a 7.4124
_cell_length_b 7.4124
_cell_length_c 20.5100
_cell_angle_alpha 90.00
_cell_angle_beta 90.00
_cell_angle_gamma 120.00
loop_
_atom_site_label
_atom_site_type_symbol
_atom_site_fract_x
_atom_site_fract_y
_atom_site_fract_z
_atom_site_occupancy
Pm1 Pm 0.0000 0.0000 0.1617 1
Ag1 Ag 0.0568 0.7825 0.7055 1
Hg1 Hg 0.0139 0.7690 0.5646 1
```

***

#Q
DFT (GGA-PBE) results for crystalline PmAg3Hg3 at its relaxed geometry.

Computed properties:
magnetization	0.0	μB/f.u.
DOS(E_F)	0.6737	states/eV per atom

Cell and atoms, written as CIF:
```
data_PmAg3Hg3
_space_group_name_H-M_alt 'P m -3 n'
_space_group_IT_number 223
_space_group_name_Hall '-P 4n 2 3'
_cell_length_a 7.5462
_cell_length_b 7.5462
_cell_length_c 7.5462
_cell_angle_alpha 90.00
_cell_angle_beta 90.00
_cell_angle_gamma 90.00
loop_
_atom_site_label
_atom_site_type_symbol
_atom_site_fract_x
_atom_site_fract_y
_atom_site_fract_z
_atom_site_occupancy
Pm1 Pm 0.0000 0.0000 0.0000 1
Ag1 Ag 0.0000 0.2500 0.5000 1
Hg1 Hg 0.0000 0.5000 0.2500 1
```

***

Which structure is the least stable? The one labeled #Q.